## Cs3Cr2F9 (GGA+U)

Data for a geometry-optimized Cs3Cr2F9 structure.

Structure (POSCAR):
```
Cs3Cr2F9
1.0
-2.235 -4.999 3.429
6.068 2.049 0.855
-5.070 10.190 11.550
Cs Cr F
6 4 18
Cartesian
-3.803 7.643 8.663
-1.268 2.548 2.888
-4.173 6.807 13.290
2.935 0.433 2.544
1.130 4.062 6.657
-2.368 3.179 9.177
-0.296 -0.985 4.459
-0.942 8.225 11.376
-0.063 6.460 9.376
-1.174 0.780 6.459
0.810 7.223 11.058
-0.714 8.396 9.353
-1.604 6.408 10.717
-2.048 0.017 4.777
-0.523 -1.156 6.482
0.366 0.832 5.118
-2.669 8.990 11.367
-1.031 7.730 13.197
-0.076 9.866 11.732
1.431 -1.750 4.468
-0.206 -0.490 2.638
-1.161 -2.626 4.103
-0.081 1.289 7.913
-1.719 2.550 6.083
-2.674 0.414 7.548
-1.156 5.951 7.921
0.481 4.691 9.752
1.436 6.826 8.287
```

Computed properties:
VASP energy ... -5.289 eV/atom